Entry from the Alexandria database: a relaxed structure of K4Ac3LaSe8 (GGA-PBE).

Lattice parameters (Å, degrees): 9.103 9.333 9.103 119.21 120.00 90.00
Atoms (fractional coordinates):
K  0.500  0.000  0.500
K  0.000  0.000  0.500
K  0.000  0.000  0.000
Se  0.745  0.715  0.980
Ac  0.000  0.500  0.500
Se  0.740  0.719  0.480
Se  0.260  0.281  0.520
La  0.000  0.500  0.000
Ac  0.500  0.500  0.500
Se  0.765  0.285  0.530
Se  0.765  0.285  0.020
Se  0.255  0.285  0.020
Se  0.235  0.715  0.470
Ac  0.500  0.500  0.000
K  0.500  0.000  0.000
Se  0.235  0.715  0.980

Summary:
- E_tot (eV/atom) = -4.913
- SG = R-3m, No. 166
- uncorrected formation energy (eV/atom) = -1.818

=====

Entry from the Alexandria database: a relaxed structure of RbSc2AgAu (GGA-PBE).

Lattice parameters (Å, degrees): 5.282 5.494 5.282 90.00 90.00 90.00
Atoms (fractional coordinates):
Rb  0.500  0.500  0.500
Sc  0.000  0.000  0.500
Au  0.000  0.000  0.000
Ag  0.000  0.500  0.000
Sc  0.500  0.000  0.000

Summary:
- E_tot (eV/atom) = -3.720
- SG = P4/mmm, No. 123
- DFT formation energy (kJ/mol of formula units) = 112

=====

Entry from the Alexandria database: a relaxed structure of TaBe2Os (GGA-PBE).

Lattice parameters (Å, degrees): 3.524 3.001 4.728 71.49 90.00 90.00
Atoms (fractional coordinates):
Os  0.000  0.471  0.433
Ta  0.500  0.788  0.800
Be  0.000  0.183  0.009
Be  0.500  0.058  0.258

Summary:
- E_tot (eV/atom) = -7.934
- SG = Amm2, No. 38
- DFT formation energy (kJ/mol of formula units) = -116

=====

> Which of these has the lowest E_tot?

TaBe2Os